The following is a DFT calculation (PBE) of an optimized crystal structure of Ba3Mg3Zn2.

Unit cell a=5.6864 b=6.8321 c=15.1321 alpha=90.00 beta=90.00 gamma=114.59
Element x y z (fractional)
Ba 0.6630 0.3260 0.0318
Ba 0.3370 0.6740 0.5318
Ba 0.3370 0.6740 0.9682
Ba 0.4474 0.8947 0.2500
Ba 0.6630 0.3260 0.4682
Ba 0.5526 0.1053 0.7500
Mg 0.0359 0.0718 0.9023
Mg 0.7718 0.5436 0.2500
Mg 0.2282 0.4564 0.7500
Mg 0.9641 0.9282 0.0977
Mg 0.0359 0.0718 0.5977
Mg 0.9641 0.9282 0.4023
Zn 0.8197 0.6395 0.8342
Zn 0.1803 0.3605 0.1658
Zn 0.1803 0.3605 0.3342
Zn 0.8197 0.6395 0.6658

## Properties
* total energy: -1.68 eV per atom
* total magnetization: 0.00 μB per atom

---

The following is a DFT calculation (PBE) of an optimized crystal structure of Ho4Al12Pt.

Unit cell a=7.4760 b=7.4760 c=7.4760 alpha=109.47 beta=109.47 gamma=109.47
Element x y z (fractional)
Al 0.2500 0.5000 0.7500
Al 0.5000 0.2500 0.7500
Al 0.5000 0.7500 0.2500
Al 0.7500 0.5000 0.2500
Al 0.2930 0.0000 0.2930
Al 0.7070 0.7070 0.0000
Al 0.7070 0.0000 0.7070
Al 0.2500 0.7500 0.5000
Al 0.0000 0.2930 0.2930
Al 0.7500 0.2500 0.5000
Al 0.2930 0.2930 0.0000
Al 0.0000 0.7070 0.7070
Ho 0.0000 0.0000 0.5000
Ho 0.0000 0.5000 0.0000
Ho 0.5000 0.0000 0.0000
Ho 0.5000 0.5000 0.5000
Pt 0.0000 0.0000 0.0000

## Properties
* total energy: -4.64 eV per atom
* total magnetization: 0.00 μB per atom

---

The following is a DFT calculation (PBE) of an optimized crystal structure of Pr3Ag.

Unit cell a=6.2242 b=6.2242 c=6.2242 alpha=134.20 beta=134.20 gamma=66.78
Element x y z (fractional)
Pr 0.7500 0.2500 0.5000
Pr 0.2500 0.7500 0.5000
Pr 0.5000 0.5000 0.0000
Ag 0.0000 0.0000 0.0000

## Properties
* offset from the most stable computed form: 0.0987 eV per atom
* total energy: -4.28 eV per atom
* total magnetization: 0.00 μB per atom

---

Which formula does entry 2 have? Ho4Al12Pt

---

Repeat the third record exactly.
The following is a DFT calculation (PBE) of an optimized crystal structure of Pr3Ag.

Unit cell a=6.2242 b=6.2242 c=6.2242 alpha=134.20 beta=134.20 gamma=66.78
Element x y z (fractional)
Pr 0.7500 0.2500 0.5000
Pr 0.2500 0.7500 0.5000
Pr 0.5000 0.5000 0.0000
Ag 0.0000 0.0000 0.0000

## Properties
* offset from the most stable computed form: 0.0987 eV per atom
* total energy: -4.28 eV per atom
* total magnetization: 0.00 μB per atom